Record 1
First-principles (PBE) data for a relaxed structure of NiAgRh2, as listed in Alexandria via LeMat-Bulk.

The structure belongs to space group Fm-3m (No. 225); the cell edges are 6.1671, 6.1671 and 6.1671 Å and the angles 90.00°, 90.00° and 90.00°. The distinct sites, in fractional coordinates, are Ni at (0.0000, 0.0000, 0.0000), Ag at (0.0000, 0.0000, 0.5000) and Rh at (0.2500, 0.2500, 0.2500).

The density of states at the Fermi level is 1.3335 states/eV/atom. The value obtained for the energy of formation is 0.394 eV/atom. The polymorph energy (0 for the lowest one) comes out at 0.95 eV/f.u. The total energy comes out at -5.440 eV per atom. The total magnetic moment comes out at 0.74 μB per atom.

***

Record 2
First-principles (PBE) data for a relaxed structure of NiAgRh2, as listed in Alexandria via LeMat-Bulk.

The structure belongs to space group Cmmm (No. 65); the cell edges are 2.7853, 4.6030 and 9.1584 Å and the angles 90.00°, 90.00° and 90.00°. The distinct sites, in fractional coordinates, are Ni at (0.0000, 0.0000, 0.0000), Ag at (0.0000, 0.0000, 0.5000) and Rh at (0.0000, 0.5000, 0.2292).

The density of states at the Fermi level is 1.8025 states/eV/atom. The value obtained for the energy of formation is 0.267 eV/atom. The polymorph energy (0 for the lowest one) comes out at 0.45 eV/f.u. The total energy comes out at -5.567 eV per atom. The total magnetic moment comes out at 0.47 μB per atom.

***

Record 3
First-principles (PBE) data for a relaxed structure of NiAgRh2, as listed in Alexandria via LeMat-Bulk.

The structure belongs to space group Pmm2 (No. 25); the cell edges are 2.7436, 3.7589 and 5.6055 Å and the angles 90.00°, 90.00° and 90.00°. The distinct sites, in fractional coordinates, are Ni at (0.0000, 0.0000, 0.0000), Ag at (0.5000, 0.5000, 0.7434), Rh at (0.0000, 0.0000, 0.4552) and Rh at (0.5000, 0.5000, 0.2323).

The density of states at the Fermi level is 1.5932 states/eV/atom. The value obtained for the energy of formation is 0.204 eV/atom. The polymorph energy (0 for the lowest one) comes out at 0.19 eV/f.u. The total energy comes out at -5.630 eV per atom. The total magnetic moment comes out at 0.07 μB per atom.

***

Record 4
First-principles (PBE) data for a relaxed structure of NiAg4Rh, as listed in Alexandria via LeMat-Bulk.

The structure belongs to space group F-43m (No. 216); the cell edges are 7.5024, 7.5024 and 7.5024 Å and the angles 90.00°, 90.00° and 90.00°. The distinct sites, in fractional coordinates, are Ni at (0.0000, 0.0000, 0.0000), Ag at (0.1250, 0.1250, 0.3750) and Rh at (0.2500, 0.2500, 0.7500).

The density of states at the Fermi level is 1.5477 states/eV/atom. The value obtained for the energy of formation is 0.590 eV/atom. The total energy comes out at -3.499 eV per atom. The total magnetic moment comes out at 0.11 μB per atom.

***

Record 5
First-principles (PBE) data for a relaxed structure of Ni2AgRh2, as listed in Alexandria via LeMat-Bulk.

The structure belongs to space group P4/mbm (No. 127); the cell edges are 7.2175, 7.2175 and 2.7090 Å and the angles 90.00°, 90.00° and 90.00°. The distinct sites, in fractional coordinates, are Ni at (0.1195, 0.3805, 0.0000), Ag at (0.0000, 0.0000, 0.0000) and Rh at (0.1742, 0.6742, 0.5000).

The density of states at the Fermi level is 1.5058 states/eV/atom. The value obtained for the energy of formation is 0.210 eV/atom. The polymorph energy (0 for the lowest one) comes out at 0.00 eV/f.u. The total energy comes out at -5.613 eV per atom. The total magnetic moment comes out at 0.49 μB per atom.

***

Record 6
First-principles (PBE) data for a relaxed structure of NiAgRh2, as listed in Alexandria via LeMat-Bulk.

The structure belongs to space group I4/mmm (No. 139); the cell edges are 3.8170, 3.8170 and 7.9220 Å and the angles 90.00°, 90.00° and 90.00°. The distinct sites, in fractional coordinates, are Ni at (0.0000, 0.0000, 0.0000), Ag at (0.0000, 0.0000, 0.5000) and Rh at (0.0000, 0.5000, 0.2500).

The density of states at the Fermi level is 1.5396 states/eV/atom. The value obtained for the energy of formation is 0.283 eV/atom. The polymorph energy (0 for the lowest one) comes out at 0.51 eV/f.u. The total energy comes out at -5.550 eV per atom. The total magnetic moment comes out at 0.47 μB per atom.

***

Record 7
First-principles (PBE) data for a relaxed structure of Ni4AgRh, as listed in Alexandria via LeMat-Bulk.

The structure belongs to space group F-43m (No. 216); the cell edges are 6.7270, 6.7270 and 6.7270 Å and the angles 90.00°, 90.00° and 90.00°. The distinct sites, in fractional coordinates, are Ni at (0.1252, 0.1252, 0.1252), Ag at (0.2500, 0.2500, 0.7500) and Rh at (0.0000, 0.0000, 0.5000).

The density of states at the Fermi level is 1.7133 states/eV/atom. The value obtained for the energy of formation is 0.167 eV/atom. The total energy comes out at -5.387 eV per atom. The total magnetic moment comes out at 0.53 μB per atom.

***

Record 8
First-principles (PBE) data for a relaxed structure of NiAgRh, as listed in Alexandria via LeMat-Bulk.

The structure belongs to space group F-43m (No. 216); the cell edges are 5.8249, 5.8249 and 5.8249 Å and the angles 90.00°, 90.00° and 90.00°. The distinct sites, in fractional coordinates, are Ni at (0.0000, 0.0000, 0.0000), Ag at (0.2500, 0.2500, 0.7500) and Rh at (0.2500, 0.2500, 0.2500).

The density of states at the Fermi level is 0.8647 states/eV/atom. The value obtained for the energy of formation is 0.524 eV/atom. The polymorph energy (0 for the lowest one) comes out at 1.00 eV/f.u. The total energy comes out at -4.804 eV per atom. The total magnetic moment comes out at 0.62 μB per atom.

***

Record 9
First-principles (PBE) data for a relaxed structure of Ni2AgRh2, as listed in Alexandria via LeMat-Bulk.

The structure belongs to space group P4/mbm (No. 127); the cell edges are 7.3092, 7.3092 and 2.6834 Å and the angles 90.00°, 90.00° and 90.00°. The distinct sites, in fractional coordinates, are Ni at (0.1691, 0.3309, 0.0000), Ag at (0.0000, 0.0000, 0.5000) and Rh at (0.1277, 0.6277, 0.5000).

The density of states at the Fermi level is 1.6676 states/eV/atom. The value obtained for the energy of formation is 0.242 eV/atom. The polymorph energy (0 for the lowest one) comes out at 0.16 eV/f.u. The total energy comes out at -5.582 eV per atom. The total magnetic moment comes out at 0.51 μB per atom.

***

Record 10
First-principles (PBE) data for a relaxed structure of NiAgRh2, as listed in Alexandria via LeMat-Bulk.

The structure belongs to space group F-43m (No. 216); the cell edges are 6.1465, 6.1465 and 6.1465 Å and the angles 90.00°, 90.00° and 90.00°. The distinct sites, in fractional coordinates, are Ni at (0.0000, 0.0000, 0.0000), Ag at (0.2500, 0.2500, 0.7500), Rh at (0.0000, 0.0000, 0.5000) and Rh at (0.2500, 0.2500, 0.2500).

The density of states at the Fermi level is 1.7810 states/eV/atom. The value obtained for the energy of formation is 0.373 eV/atom. The polymorph energy (0 for the lowest one) comes out at 0.87 eV/f.u. The total energy comes out at -5.461 eV per atom. The total magnetic moment comes out at 0.00 μB per atom.

***

Record 11
First-principles (PBE) data for a relaxed structure of NiAgRh2, as listed in Alexandria via LeMat-Bulk.

The structure belongs to space group I-4m2 (No. 119); the cell edges are 3.8668, 3.8668 and 7.6514 Å and the angles 90.00°, 90.00° and 90.00°. The distinct sites, in fractional coordinates, are Ni at (0.0000, 0.0000, 0.0000), Ag at (0.0000, 0.5000, 0.2500), Rh at (0.0000, 0.0000, 0.5000) and Rh at (0.0000, 0.5000, 0.7500).

The density of states at the Fermi level is 1.5661 states/eV/atom. The value obtained for the energy of formation is 0.255 eV/atom. The polymorph energy (0 for the lowest one) comes out at 0.40 eV/f.u. The total energy comes out at -5.579 eV per atom. The total magnetic moment comes out at 0.00 μB per atom.

***

Record 12
First-principles (PBE) data for a relaxed structure of NiAgRh2, as listed in Alexandria via LeMat-Bulk.

The structure belongs to space group R-3m (No. 166, hexagonal axes); the cell edges are 2.7420, 2.7420 and 26.8500 Å and the angles 90.00°, 90.00° and 120.00°. The distinct sites, in fractional coordinates, are Ni at (0.0000, 0.0000, 0.0000), Ag at (0.0000, 0.0000, 0.5000) and Rh at (0.0000, 0.0000, 0.2573).

The density of states at the Fermi level is 1.4970 states/eV/atom. The value obtained for the energy of formation is 0.173 eV/atom. The polymorph energy (0 for the lowest one) comes out at 0.07 eV/f.u. The total energy comes out at -5.661 eV per atom. The total magnetic moment comes out at 0.71 μB per atom.

***

Record 13
First-principles (PBE) data for a relaxed structure of NiAgRh2, as listed in Alexandria via LeMat-Bulk.

The structure belongs to space group Immm (No. 71); the cell edges are 2.7519, 4.5224 and 9.3240 Å and the angles 90.00°, 90.00° and 90.00°. The distinct sites, in fractional coordinates, are Ni at (0.0000, 0.0000, 0.0000), Ag at (0.0000, 0.0000, 0.5000) and Rh at (0.0000, 0.5000, 0.2757).

The density of states at the Fermi level is 1.5865 states/eV/atom. The value obtained for the energy of formation is 0.222 eV/atom. The polymorph energy (0 for the lowest one) comes out at 0.26 eV/f.u. The total energy comes out at -5.612 eV per atom. The total magnetic moment comes out at 0.21 μB per atom.

***

Record 14
First-principles (PBE) data for a relaxed structure of NiAgRh2, as listed in Alexandria via LeMat-Bulk.

The structure belongs to space group R3m (No. 160, hexagonal axes); the cell edges are 2.7405, 2.7405 and 26.5815 Å and the angles 90.00°, 90.00° and 120.00°. The distinct sites, in fractional coordinates, are Ni at (0.0000, 0.0000, 0.0000), Ag at (0.0000, 0.0000, 0.7509), Rh at (0.0000, 0.0000, 0.2575) and Rh at (0.0000, 0.0000, 0.5092).

The density of states at the Fermi level is 1.4125 states/eV/atom. The value obtained for the energy of formation is 0.179 eV/atom. The polymorph energy (0 for the lowest one) comes out at 0.09 eV/f.u. The total energy comes out at -5.655 eV per atom. The total magnetic moment comes out at 0.10 μB per atom.

***

Record 15
First-principles (PBE) data for a relaxed structure of NiAgRh2, as listed in Alexandria via LeMat-Bulk.

The structure belongs to space group Imm2 (No. 44); the cell edges are 2.8054, 4.5674 and 9.0371 Å and the angles 90.00°, 90.00° and 90.00°. The distinct sites, in fractional coordinates, are Ni at (0.0000, 0.0000, 0.0000), Ag at (0.0000, 0.5000, 0.2513), Rh at (0.0000, 0.0000, 0.4793) and Rh at (0.0000, 0.5000, 0.7307).

The density of states at the Fermi level is 1.6504 states/eV/atom. The value obtained for the energy of formation is 0.310 eV/atom. The polymorph energy (0 for the lowest one) comes out at 0.62 eV/f.u. The total energy comes out at -5.524 eV per atom. The total magnetic moment comes out at 0.05 μB per atom.